(1)
Compound: Mg3MnW
Source: the Alexandria database
Functional: PBEsol
Structure: optimized geometry

The structure belongs to space group Pm-3m (No. 221); the cell edges are 4.715, 4.715 and 4.715 Å and the angles 90.00°, 90.00° and 90.00°. The inequivalent atoms are Mg at (0.000, 0.000, 0.500), Mn at (0.000, 0.000, 0.000) and W at (0.500, 0.500, 0.500).

Its formation energy is 1.670 eV/atom. The density of states at the Fermi level is 4.5 states/eV per cell. As for the final energy: -4.074 eV per atom.

(2)
Compound: MgZn2In
Source: the Alexandria database
Functional: PBEsol
Structure: optimized geometry

The structure belongs to space group Amm2 (No. 38); the cell edges are 4.277, 3.286 and 10.566 Å and the angles 90.00°, 90.00° and 90.00°. The inequivalent atoms are Mg at (0.000, 0.000, 0.000), Zn at (0.000, 0.000, 0.273), Zn at (0.500, 0.000, 0.406) and In at (0.500, 0.000, 0.671).

Its formation energy is -0.021 eV/atom. The density of states at the Fermi level is 2.2 states/eV per cell. As for the final energy: -1.986 eV per atom.

(3)
Compound: SrAl12O19
Source: the Alexandria database
Functional: PBEsol
Structure: optimized geometry

The structure belongs to space group P6_3/mmc (No. 194); the cell edges are 5.5878, 5.5878 and 21.9132 Å and the angles 90.00°, 90.00° and 120.00°. The inequivalent atoms are Sr at (0.3333, 0.6667, 0.2500), Al at (0.0000, 0.0000, 0.0000), Al at (0.0000, 0.0000, 0.2500), Al at (0.1681, 0.3363, 0.1090), Al at (0.3333, 0.6667, 0.5288), Al at (0.3333, 0.6667, 0.6906), O at (0.0000, 0.0000, 0.1504), O at (0.0049, 0.5024, 0.1485), O at (0.1545, 0.3089, 0.5522), O at (0.1821, 0.3643, 0.7500) and O at (0.3333, 0.6667, 0.0542).

The density of states at the Fermi level is 0.0 states/eV per cell. For the energy relative to the elements, uncorrected, the calculation gives -3.08 eV/atom. As for the final energy: -7.793 eV per atom.

(4)
Compound: Al2InSe
Source: the Alexandria database
Functional: PBEsol
Structure: optimized geometry

The structure belongs to space group P4/mmm (No. 123); the cell edges are 3.337, 3.337 and 7.108 Å and the angles 90.00°, 90.00° and 90.00°. The inequivalent atoms are Al at (0.000, 0.000, 0.215), In at (0.500, 0.500, 0.500) and Se at (0.500, 0.500, 0.000).

The value obtained for the energy above the lowest structure with this stoichiometry is 0 meV/atom. The density of states at the Fermi level is 1.6 states/eV per cell. For the energy relative to the elements, uncorrected, the calculation gives -0.02 eV/atom. As for the final energy: -3.776 eV per atom.

(5)
Compound: CuSiH8O4F6
Source: the Alexandria database
Functional: PBEsol
Structure: optimized geometry

The structure belongs to space group P2_1/c (No. 14); the cell edges are 6.701, 9.132 and 6.127 Å and the angles 90.00°, 109.53° and 90.00°. The inequivalent atoms are Cu at (0.000, 0.000, 0.000), Si at (0.500, 0.000, 0.500), H at (0.044, 0.216, 0.290), H at (0.193, 0.713, 0.382), H at (0.241, 0.098, 0.792), H at (0.311, 0.151, 0.063), O at (0.071, 0.649, 0.308), O at (0.185, 0.136, 0.916), F at (0.307, 0.081, 0.582), F at (0.310, 0.598, 0.797) and F at (0.480, 0.138, 0.305).

As for the final energy: -5.151 eV per atom.

(6)
Compound: FeOs3
Source: the Alexandria database
Functional: PBEsol
Structure: optimized geometry

The structure belongs to space group P-6m2 (No. 187); the cell edges are 2.6938, 2.6938 and 8.3464 Å and the angles 90.00°, 90.00° and 120.00°. The inequivalent atoms are Fe at (0.0000, 0.0000, 0.0000), Os at (0.0000, 0.0000, 0.5000) and Os at (0.3333, 0.6667, 0.2390).

Its formation energy is 0.061 eV/atom. The density of states at the Fermi level is 3.3 states/eV per cell. As for the final energy: -11.342 eV per atom.